# Ca2TlO2

Crystalline Ca2TlO2 at its relaxed geometry (PBE-GGA, Alexandria via LeMat-Bulk).

abc: 6.676 6.676 6.676
angles: 142.26 142.26 54.43
Fractional positions:
Ca1 0.191 0.191 0.000
Ca2 0.809 0.809 0.000
Tl1 0.500 0.500 0.000
O1 0.250 0.750 0.500
O2 0.750 0.250 0.500

Output
**E**: -25.93 eV/f.u.
**V**: 22.1 A^3/atom
**Formation energy from raw total energies**: -1.930 eV per atom